--- 1 ---
The following is a DFT calculation (PBE) of crystalline TbPmBe at its relaxed geometry.

It has space group I4mm (No. 107), with a = 3.529 Å, b = 3.529 Å, c = 12.106 Å, α = 90.00°, β = 90.00° and γ = 90.00°. The inequivalent atoms are Tb at (0.000, 0.000, 0.000), Pm at (0.000, 0.000, 0.271) and Be at (0.000, 0.000, 0.629).

The mass density comes out at 6.89 g/cm3. The value obtained for the density of states at the Fermi level is 6.49 states/eV/cell.


--- 2 ---
The following is a DFT calculation (PBE) of crystalline TbPmBe at its relaxed geometry.

It has space group Fmmm (No. 69), with a = 6.661 Å, b = 9.536 Å, c = 9.668 Å, α = 90.00°, β = 90.00° and γ = 90.00°. The inequivalent atoms are Tb at (0.000, 0.000, 0.183), Pm at (0.000, 0.180, 0.500) and Be at (0.250, 0.250, 0.250).

The mass density comes out at 6.77 g/cm3. The value obtained for the density of states at the Fermi level is 29.01 states/eV/cell.


1 is favored, and the nearest alternative lies 6.5 kJ/mol of atoms above it.